Record 1
This record from OQMD via LeMat-Bulk describes an optimized crystal structure of KZrAgSeS2. The functional is PBE.

Values from the calculation:
The value obtained for the volume is 24.73 Å³/atom. Its energy above the most stable polymorph in this dataset is 0 meV/atom. The crystal system is monoclinic. The value obtained for the total energy is -5.190 eV per atom. For the magnetic moment, the calculation gives 0.00 μB per formula unit.

Cell and atoms, written as extended XYZ:
```
12
Lattice="8.2290 0.0000 0.0000 0.0000 3.8929 0.0000 -3.3323 0.0000 9.2621" Properties=species:S:1:pos:R:3 pbc="T T T"
K 1.0944 0.9732 2.4258
K 3.8023 2.9197 6.8363
Zr -0.2270 2.9197 7.8385
Zr 5.1236 0.9732 1.4237
Ag -1.4109 0.9732 5.6281
Ag 6.3076 2.9197 3.6340
Se 0.4145 2.9197 5.2250
Se 4.4822 0.9732 4.0371
S -1.9644 0.9732 8.0570
S 3.3356 2.9197 1.1873
S 1.5611 0.9732 8.0749
S 6.8611 2.9197 1.2051
```

Record 2
This record from OQMD via LeMat-Bulk describes an optimized crystal structure of KSiAgTe2S. The functional is PBE.

Values from the calculation:
The value obtained for the volume is 26.81 Å³/atom. The crystal system is orthorhombic. The value obtained for the total energy is -3.478 eV per atom.

Cell and atoms, written as extended XYZ:
```
12
Lattice="1.9339 -7.4880 0.0000 1.9339 7.4880 0.0000 0.0000 0.0000 11.1086" Properties=species:S:1:pos:R:3 pbc="T T T"
K 1.9339 4.0350 8.3314
K 1.9339 -4.0350 2.7771
Si 1.9339 0.0000 0.0000
Si 1.9339 0.0000 5.5543
Ag 1.9339 6.6324 2.7771
Ag 1.9339 -6.6324 8.3314
Te 1.9339 5.5555 0.2633
Te 1.9339 5.5555 5.2910
Te 1.9339 -5.5555 5.8175
Te 1.9339 -5.5555 10.8453
S 1.9339 0.7468 2.7771
S 1.9339 -0.7468 8.3314
```